The following is a DFT calculation (PBE) of ScVI3 after structural relaxation.

a = 5.7376 Å, b = 5.7376 Å, c = 5.7376 Å
α = 90.00°, β = 90.00°, γ = 90.00°
Sites, in units of the cell vectors:
Sc1 0.0000 0.0000 0.0000
V1 0.5000 0.5000 0.5000
I1 0.0000 0.0000 0.5000
I2 0.0000 0.5000 0.0000
I3 0.5000 0.0000 0.0000

Computed properties:
Formation energy without anion corrections ... 0.039 eV/atom
Energy above the lowest structure with this stoichiometry ... 0.000 eV/atom
Space-group type ... No. 221